Entry 1:
Ti5NbSb2: relaxed, PBE-GGA.

The structure belongs to space group Cmcm (No. 63); the cell edges are 4.6874, 12.3230 and 11.7620 Å and the angles 90.00°, 90.00° and 90.00°. The asymmetric unit holds Ti at (0.0000, 0.1194, 0.1349), Ti at (0.0000, 0.3016, 0.7500), Ti at (0.0000, 0.3104, 0.0113), Nb at (0.0000, 0.3339, 0.2500) and Sb at (0.0000, 0.1049, 0.6104).

The calculation puts the uncorrected formation energy at 73 meV/atom. The magnetic moment comes out at 0.00 μB per cell. The total DFT energy (no corrections) is -7.15 eV per atom.


Entry 2:
ZrTcNi2: relaxed, PBE-GGA.

The structure belongs to space group P-1 (No. 2); the cell edges are 4.9549, 4.9818 and 5.2289 Å and the angles 76.02°, 78.89° and 70.25°. The asymmetric unit holds Zr at (0.1999, 0.4859, 0.2085), Tc at (0.2157, 0.9238, 0.6004), Ni at (0.2402, 0.0115, 0.0499) and Ni at (0.3725, 0.3654, 0.6878).

The magnetic moment comes out at 0.00 μB per cell. The total DFT energy (no corrections) is -7.87 eV per atom. The value obtained for the formation energy is -0.25 eV per atom. The value obtained for the relative energy among the computed polymorphs is 0.07 eV/f.u.